Compound: FeTc2Pt
Source: Alexandria via LeMat-Bulk
Functional: meta-GGA SCAN
Structure: single point on PBEsol structure

The structure in CIF format:
```
data_FeTc2Pt
_space_group_name_H-M_alt 'I -4 m 2'
_space_group_IT_number 119
_space_group_name_Hall 'I -4 -2'
_cell_length_a 3.796
_cell_length_b 3.796
_cell_length_c 7.453
_cell_angle_alpha 90.00
_cell_angle_beta 90.00
_cell_angle_gamma 90.00
loop_
_atom_site_label
_atom_site_fract_x
_atom_site_fract_y
_atom_site_fract_z
_atom_site_occupancy
Fe1 0.000 0.000 0.000 1
Tc1 0.000 0.000 0.500 1
Tc2 0.000 0.500 0.250 1
Pt1 0.000 0.500 0.750 1
```

total magnetic moment: 4.4 μB/cell
E_tot: -39.760 eV/atom